<i>
The following is a PBE calculation of crystalline Be6Ag at its relaxed geometry, from Alexandria.

```
data_Be6Ag
_chemical_formula_sum 'Be12 Ag2'
_cell_length_a 5.750
_cell_length_b 5.750
_cell_length_c 5.750
_cell_angle_alpha 90.00
_cell_angle_beta 90.00
_cell_angle_gamma 90.00
_space_group_name_H-M_alt 'I m -3 m'
_space_group_IT_number 229
_space_group_name_Hall '-I 4 2 3'
loop_
_atom_site_label
_atom_site_type_symbol
_atom_site_fract_x
_atom_site_fract_y
_atom_site_fract_z
Be1 Be 0.000 0.250 0.500
Ag1 Ag 0.000 0.000 0.000
```

Output
- DOS at the Fermi energy (states/eV per atom) = 0.345
- total magnetization (μB per cell) = 0.00

=====

<ii>
The following is a PBE calculation of crystalline Be6Ag at its relaxed geometry, from Alexandria.

```
data_Be6Ag
_chemical_formula_sum 'Be24 Ag4'
_cell_length_a 6.984
_cell_length_b 4.216
_cell_length_c 9.181
_cell_angle_alpha 90.00
_cell_angle_beta 90.00
_cell_angle_gamma 90.00
_space_group_name_H-M_alt 'P n m a'
_space_group_IT_number 62
loop_
_space_group_symop_operation_xyz
'x,y,z'
'-x,-y,-z'
'-x+1/2,-y,z+1/2'
'x+1/2,y,-z+1/2'
'x+1/2,-y+1/2,-z+1/2'
'-x+1/2,y+1/2,z+1/2'
'-x,y+1/2,-z'
'x,-y+1/2,z'
loop_
_atom_site_label
_atom_site_type_symbol
_atom_site_fract_x
_atom_site_fract_y
_atom_site_fract_z
Be1 Be 0.038 0.250 0.102
Be2 Be 0.058 0.000 0.308
Be3 Be 0.091 0.750 0.510
Be4 Be 0.154 0.250 0.856
Be5 Be 0.191 0.750 0.736
Ag1 Ag 0.237 0.750 0.074
```

Output
- DOS at the Fermi energy (states/eV per atom) = 0.211
- total magnetization (μB per cell) = 0.00

=====

Last place for stability: <i>

=====

<i>
The following is a PBE calculation of crystalline Be5Ag3 at its relaxed geometry, from Alexandria.

```
data_Be5Ag3
_chemical_formula_sum 'Be10 Ag6'
_cell_length_a 7.3763
_cell_length_b 7.3763
_cell_length_c 4.2011
_cell_angle_alpha 90.00
_cell_angle_beta 90.00
_cell_angle_gamma 120.00
_space_group_name_H-M_alt 'P 63/m c m'
_space_group_IT_number 193
_space_group_name_Hall '-P 6c 2'
loop_
_atom_site_label
_atom_site_type_symbol
_atom_site_fract_x
_atom_site_fract_y
_atom_site_fract_z
Be1 Be 0.0000 0.1823 0.2500
Be2 Be 0.3333 0.6667 0.0000
Ag1 Ag 0.0000 0.3770 0.7500
```

Output
- DOS at the Fermi energy (states/eV per atom) = 0.155
- total magnetization (μB per cell) = 0.00

=====

<ii>
The following is a PBE calculation of crystalline Be5Ag3 at its relaxed geometry, from Alexandria.

```
data_Be5Ag3
_chemical_formula_sum 'Be10 Ag6'
_cell_length_a 4.719
_cell_length_b 6.293
_cell_length_c 6.838
_cell_angle_alpha 77.15
_cell_angle_beta 79.83
_cell_angle_gamma 76.44
_space_group_name_H-M_alt 'P 1'
_space_group_IT_number 1
loop_
_space_group_symop_operation_xyz
'x,y,z'
loop_
_atom_site_label
_atom_site_type_symbol
_atom_site_fract_x
_atom_site_fract_y
_atom_site_fract_z
Be1 Be 0.000 0.000 0.000
Be2 Be 0.000 0.314 0.750
Be3 Be 0.427 0.535 0.163
Be4 Be 0.592 0.837 0.990
Be5 Be 0.630 0.566 0.839
Be6 Be 0.714 0.043 0.324
Be7 Be 0.836 0.673 0.234
Be8 Be 0.865 0.692 0.554
Be9 Be 0.871 0.016 0.672
Be10 Be 0.880 0.340 0.083
Ag1 Ag 0.097 0.642 0.877
Ag2 Ag 0.105 0.302 0.379
Ag3 Ag 0.250 0.854 0.320
Ag4 Ag 0.396 0.974 0.671
Ag5 Ag 0.458 0.218 0.988
Ag6 Ag 0.528 0.435 0.546
```

Output
- DOS at the Fermi energy (states/eV per atom) = 0.208
- total magnetization (μB per cell) = 0.00

=====

<iii>
The following is a PBE calculation of crystalline Be5Ag3 at its relaxed geometry, from Alexandria.

```
data_Be5Ag3
_chemical_formula_sum 'Be5 Ag3'
_cell_length_a 2.875
_cell_length_b 2.875
_cell_length_c 11.337
_cell_angle_alpha 90.00
_cell_angle_beta 90.00
_cell_angle_gamma 90.00
_space_group_name_H-M_alt 'P 4/m m m'
_space_group_IT_number 123
_space_group_name_Hall '-P 4 2'
loop_
_atom_site_label
_atom_site_type_symbol
_atom_site_fract_x
_atom_site_fract_y
_atom_site_fract_z
Be1 Be 0.000 0.000 0.000
Be2 Be 0.000 0.000 0.266
Be3 Be 0.500 0.500 0.366
Ag1 Ag 0.000 0.000 0.500
Ag2 Ag 0.500 0.500 0.135
```

Output
- DOS at the Fermi energy (states/eV per atom) = 0.184
- total magnetization (μB per cell) = 0.00

=====

Last place for stability: <i>

=====

<i>
The following is a PBE calculation of crystalline Be3Ag2 at its relaxed geometry, from Alexandria.

```
data_Be3Ag2
_chemical_formula_sum 'Be9 Ag6'
_cell_length_a 2.7221
_cell_length_b 2.7221
_cell_length_c 29.8655
_cell_angle_alpha 90.00
_cell_angle_beta 90.00
_cell_angle_gamma 120.00
_space_group_name_H-M_alt 'R -3 m'
_space_group_IT_number 166
_space_group_name_Hall '-R 3 2"'
loop_
_atom_site_label
_atom_site_type_symbol
_atom_site_fract_x
_atom_site_fract_y
_atom_site_fract_z
Be1 Be 0.0000 0.0000 0.0000
Be2 Be 0.0000 0.0000 0.1951
Ag1 Ag 0.0000 0.0000 0.4022
```

Output
- DOS at the Fermi energy (states/eV per atom) = 0.268
- total magnetization (μB per cell) = 0.00

=====

<ii>
The following is a PBE calculation of crystalline Be3Ag2 at its relaxed geometry, from Alexandria.

```
data_Be3Ag2
_chemical_formula_sum 'Be24 Ag16'
_cell_length_a 8.255
_cell_length_b 12.046
_cell_length_c 4.791
_cell_angle_alpha 90.00
_cell_angle_beta 90.00
_cell_angle_gamma 90.00
_space_group_name_H-M_alt 'F d d 2'
_space_group_IT_number 43
_space_group_name_Hall 'F 2 -2d'
loop_
_atom_site_label
_atom_site_type_symbol
_atom_site_fract_x
_atom_site_fract_y
_atom_site_fract_z
Be1 Be 0.000 0.000 0.000
Be2 Be 0.069 0.386 0.150
Ag1 Ag 0.069 0.303 0.652
```

Output
- DOS at the Fermi energy (states/eV per atom) = 0.141
- total magnetization (μB per cell) = 0.00

=====

Last place for stability: <i>